Entry 1:
GGA-PBEsol InSn2I5, optimized geometry; formation energy (no corrections) = -3.6 eV/f.u.; space-group type = No. 140
1.0
-4.287 4.287 7.431
4.287 -4.287 7.431
4.287 4.287 -7.431
In Sn I
2 4 10
Direct
0.250 0.250 0.000
0.750 0.750 0.000
0.160 0.660 0.819
0.340 0.160 0.500
0.660 0.840 0.500
0.840 0.340 0.181
0.000 0.000 0.000
0.016 0.200 0.500
0.200 0.700 0.184
0.300 0.484 0.500
0.484 0.984 0.184
0.500 0.500 0.000
0.516 0.016 0.816
0.700 0.516 0.500
0.800 0.300 0.816
0.984 0.800 0.500


Entry 2:
GGA-PBEsol CdRhC3, optimized geometry; ΔH_f (0 K) = 11.05 eV per formula unit; space-group type = No. 221
1.0
3.990 0.000 0.000
0.000 3.990 0.000
0.000 0.000 3.990
Cd Rh C
1 1 3
Direct
0.000 0.000 0.000
0.500 0.500 0.500
0.000 0.500 0.500
0.500 0.000 0.500
0.500 0.500 0.000


Entry 3:
GGA-PBEsol Y2HgSb, optimized geometry; ΔE to the lowest computed polymorph = 0.000 eV per atom; formation energy (no corrections) = -3.4 eV/f.u.; space-group type = No. 38
1.0
4.275 0.000 0.000
0.000 2.161 5.650
0.000 -2.161 5.650
Y Hg Sb
2 1 1
Direct
0.000 0.000 0.000
0.500 0.276 0.276
0.500 0.538 0.538
0.000 0.725 0.725


Entry 4:
GGA-PBEsol Y3CuO, optimized geometry; formation energy (no corrections) = -5.9 eV/f.u.; space-group type = No. 221
1.0
4.626 0.000 0.000
0.000 4.626 0.000
0.000 0.000 4.626
Y Cu O
3 1 1
Direct
0.000 0.000 0.500
0.000 0.500 0.000
0.500 0.000 0.000
0.500 0.500 0.500
0.000 0.000 0.000


Entry 5:
GGA-PBEsol NaTiS2, optimized geometry; formation energy (no corrections) = -5.5 eV/f.u.; space-group type = No. 160
1.0
1.726 0.997 6.821
-1.726 0.997 6.821
0.000 -1.994 6.821
Na Ti S
1 1 2
Direct
0.000 0.000 0.000
0.168 0.168 0.168
0.572 0.572 0.572
0.765 0.765 0.765


Entry 6:
GGA-PBEsol CdHgPb, optimized geometry; ΔH_f (0 K) = 0.06 eV per formula unit; space-group type = No. 187
1.0
5.035 0.000 0.000
-2.518 4.361 0.000
0.000 0.000 3.382
Cd Hg Pb
1 1 1
Direct
0.000 0.000 0.000
0.333 0.667 0.000
0.667 0.333 0.500


The records above give, respectively, final energy values of -2.99 -5.44 -5.54 -7.19 -6.01 -1.90 eV per atom.